First-principles (PBE-GGA) data for NdBeS after structural relaxation, as listed in Alexandria via LeMat-Bulk.

Calculated values
* spin magnetization: 0.000 μB per atom
* DOS(E_F): 0.9 states/eV per cell
* raw formation energy: -0.95 eV/atom
* symmetry: No. 166
* E: -5.156 eV per atom

a b c (Å): 4.5947 4.5947 7.7101
angles (deg): 72.66 72.66 60.00
Closest atoms and distances in Å follow each position.
Element x y z (fractional)
S: 0.7199 0.7199 0.8403  1 Be 2.21
S: 0.2801 0.2801 0.1597  1 Be 2.21
Nd: 0.4186 0.4186 0.7441  4 S 2.74-3.01, 3 Be 3.06
Nd: 0.5814 0.5814 0.2559  4 S 2.74-3.01, 3 Be 3.06
Be: 0.8218 0.8218 0.5345  1 S 2.21
Be: 0.1782 0.1782 0.4655  1 S 2.21



First-principles (PBE-GGA) data for Nd2BeS4 after structural relaxation, as listed in Alexandria via LeMat-Bulk.

Calculated values
* spin magnetization: 0.000 μB per atom
* raw formation energy: -1.72 eV/atom
* symmetry: No. 11
* E: -5.968 eV per atom

a b c (Å): 6.3062 6.3970 7.8132
angles (deg): 90.00 108.19 90.00
Closest atoms and distances in Å follow each position.
Element x y z (fractional)
S: 0.5081 0.4983 0.7426  1 Be 2.08
S: 0.0751 0.7500 0.3771  1 Be 2.13
S: 0.4919 0.9983 0.2574  1 Be 2.08
S: 0.4919 0.5017 0.2574  1 Be 2.08
S: 0.0884 0.7500 0.9166  1 Be 2.13
S: 0.9116 0.2500 0.0834  1 Be 2.13
S: 0.5081 0.0017 0.7426  1 Be 2.08
S: 0.9249 0.2500 0.6229  1 Be 2.13
Be: 0.2676 0.7500 0.1971  4 S 2.08-2.13
Be: 0.7324 0.2500 0.8029  4 S 2.08-2.13
Nd: 0.7224 0.7500 0.0537  6 S 2.80-2.93
Nd: 0.2776 0.2500 0.9463  6 S 2.80-2.93
Nd: 0.2372 0.2500 0.4321  6 S 2.82-2.96
Nd: 0.7628 0.7500 0.5679  6 S 2.82-2.96



First-principles (PBE-GGA) data for NdScBe17 after structural relaxation, as listed in Alexandria via LeMat-Bulk.

Calculated values
* spin magnetization: 0.000 μB per atom
* formation enthalpy at 0 K: -11.0 kJ per mole of atoms
* DOS(E_F): 4.4 states/eV per cell
* symmetry: No. 160
* E: -4.032 eV per atom

a b c (Å): 5.8092 5.8092 5.8092
angles (deg): 83.03 83.03 83.03
Closest atoms and distances in Å follow each position.
Element x y z (fractional)
Be: 0.3355 0.3355 0.8457  7 Be 2.19-2.33
Be: 0.0027 0.0027 0.4988  10 Be 2.17-2.38
Be: 0.1576 0.6593 0.6593  9 Be 2.23-2.45
Be: 0.0032 0.7186 0.2790  6 Be 2.12-2.27
Be: 0.7186 0.2790 0.0032  6 Be 2.12-2.27
Be: 0.4988 0.0027 0.0027  10 Be 2.17-2.38
Be: 0.3355 0.8457 0.3355  7 Be 2.19-2.33
Be: 0.9072 0.9072 0.9072  4 Be 2.14-2.38
Be: 0.6593 0.6593 0.1576  9 Be 2.23-2.45
Be: 0.7186 0.0032 0.2790  6 Be 2.12-2.27
Be: 0.0978 0.0978 0.0978  7 Be 2.14-2.34
Be: 0.0027 0.4988 0.0027  10 Be 2.17-2.38
Be: 0.6593 0.1576 0.6593  9 Be 2.23-2.45
Be: 0.2790 0.0032 0.7186  6 Be 2.12-2.27
Be: 0.0032 0.2790 0.7186  6 Be 2.12-2.27
Be: 0.2790 0.7186 0.0032  6 Be 2.12-2.27
Be: 0.8457 0.3355 0.3355  7 Be 2.19-2.33
Nd: 0.6596 0.6596 0.6596  19 Be 2.78-2.98
Sc: 0.3368 0.3368 0.3368  19 Be 2.68-2.95



First-principles (PBE-GGA) data for NdScBe2Si2 after structural relaxation, as listed in Alexandria via LeMat-Bulk.

Calculated values
* spin magnetization: 0.000 μB per atom
* DOS(E_F): 3.3 states/eV per cell
* raw formation energy: -0.60 eV/atom
* symmetry: No. 164
* E: -5.498 eV per atom

a b c (Å): 3.8558 3.8558 7.9485
angles (deg): 90.00 90.00 120.00
Closest atoms and distances in Å follow each position.
Element x y z (fractional)
Si: 0.6667 0.3333 0.7273  3 Be 2.23
Si: 0.3333 0.6667 0.2727  3 Be 2.23
Be: 0.6667 0.3333 0.2739  3 Si 2.23
Be: 0.3333 0.6667 0.7261  3 Si 2.23
Sc: 0.0000 0.0000 0.5000  6 Be 2.86, 6 Si 2.87
Nd: 0.0000 0.0000 0.0000  6 Si 3.11, 6 Be 3.11



First-principles (PBE-GGA) data for NdBeSe2 after structural relaxation, as listed in Alexandria via LeMat-Bulk.

Calculated values
* spin magnetization: 0.000 μB per atom
* DOS(E_F): 2.7 states/eV per cell
* raw formation energy: -0.34 eV/atom
* symmetry: No. 166
* E: -4.209 eV per atom

a b c (Å): 3.6396 3.6396 8.6135
angles (deg): 77.80 77.80 60.00
Closest atoms and distances in Å follow each position.
Element x y z (fractional)
Se: 0.8858 0.8858 0.3427  3 Be 2.48
Se: 0.1142 0.1142 0.6573  3 Be 2.48
Be: 0.5000 0.5000 0.5000  6 Se 2.48
Nd: 0.0000 0.0000 0.0000  2 Se 2.86



First-principles (PBE-GGA) data for Nd3BeSe6 after structural relaxation, as listed in Alexandria via LeMat-Bulk.

Calculated values
* spin magnetization: 0.000 μB per atom
* DOS(E_F): 3.3 states/eV per cell
* raw formation energy: -1.50 eV/atom
* symmetry: No. 36
* E: -5.395 eV per atom

a b c (Å): 6.3825 9.3884 9.3884
angles (deg): 102.04 90.00 90.00
Closest atoms and distances in Å follow each position.
Element x y z (fractional)
Be: 0.5385 0.8046 0.1954  4 Se 2.23-2.27
Be: 0.0385 0.1954 0.8046  4 Se 2.23-2.27
Nd: 0.3990 0.3742 0.6258  7 Se 2.93-3.14
Nd: 0.8990 0.6258 0.3742  7 Se 2.93-3.14
Nd: 0.4805 0.2800 0.0647  7 Se 2.93-3.25
Nd: 0.9805 0.7200 0.9353  7 Se 2.93-3.25
Nd: 0.4805 0.9353 0.7200  7 Se 2.93-3.25
Nd: 0.9805 0.0647 0.2800  7 Se 2.93-3.25
Se: 0.6714 0.5834 0.0975  1 Be 2.25
Se: 0.1987 0.3546 0.3284  4 Nd 3.01-3.14, 2 Se 3.21
Se: 0.6539 0.9517 0.0483  1 Be 2.27
Se: 0.1714 0.4166 0.9025  1 Be 2.25
Se: 0.6987 0.3284 0.3546  4 Nd 3.01-3.14, 2 Se 3.21
Se: 0.1930 0.7820 0.2180  1 Be 2.23
Se: 0.1714 0.0975 0.5834  1 Be 2.25
Se: 0.1987 0.6716 0.6454  4 Nd 3.01-3.14, 2 Se 3.21
Se: 0.6987 0.6454 0.6716  4 Nd 3.01-3.14, 2 Se 3.21
Se: 0.1539 0.0483 0.9517  1 Be 2.27
Se: 0.6714 0.9025 0.4166  1 Be 2.25
Se: 0.6930 0.2180 0.7820  1 Be 2.23



First-principles (PBE-GGA) data for NdBeSe after structural relaxation, as listed in Alexandria via LeMat-Bulk.

Calculated values
* spin magnetization: 0.000 μB per atom
* DOS(E_F): 0.3 states/eV per cell
* raw formation energy: -0.78 eV/atom
* symmetry: No. 12
* E: -4.770 eV per atom

a b c (Å): 4.6618 4.6848 10.5168
angles (deg): 48.02 77.19 60.16
Closest atoms and distances in Å follow each position.
Element x y z (fractional)
Se: 0.7825 0.5906 0.8443  1 Be 2.42
Se: 0.2175 0.4094 0.1557  1 Be 2.42
Nd: 0.0760 0.1201 0.7279  3 Se 2.85, 3 Be 3.10
Nd: 0.9240 0.8799 0.2721  3 Se 2.85, 3 Be 3.10
Be: 0.6780 0.1138 0.5302  1 Se 2.42
Be: 0.3220 0.8862 0.4698  1 Se 2.42



First-principles (PBE-GGA) data for Nd3BeSi3 after structural relaxation, as listed in Alexandria via LeMat-Bulk.

Calculated values
* spin magnetization: 0.112 μB per atom
* DOS(E_F): 4.4 states/eV per cell
* raw formation energy: -0.67 eV/atom
* symmetry: No. 44
* E: -5.571 eV per atom

a b c (Å): 3.9410 4.3538 9.4430
angles (deg): 103.33 102.04 90.00
Closest atoms and distances in Å follow each position.
Element x y z (fractional)
Si: 0.5579 0.5579 0.1157  1 Be 2.24, 2 Si 2.45
Si: 0.8689 0.3689 0.7378  2 Be 2.28
Si: 0.1386 0.6386 0.2772  2 Si 2.45
Nd: 0.0002 0.0002 0.0004  8 Si 3.11-3.30, 4 Be 3.17
Nd: 0.6842 0.1842 0.3683  7 Si 3.05-3.32
Nd: 0.3170 0.8170 0.6339  2 Be 3.02, 5 Si 3.08-3.20
Be: 0.4333 0.4333 0.8666  3 Si 2.24-2.28